First-principles (PBE-GGA) data for crystalline Li2Cd5In12 at its relaxed geometry, as listed in Alexandria via LeMat-Bulk.

Geometry as CIF:
```
data_Li2Cd5In12
_cell_length_a 16.136
_cell_length_b 11.089
_cell_length_c 5.728
_cell_angle_alpha 90.00
_cell_angle_beta 110.53
_cell_angle_gamma 90.00
_space_group_name_H-M_alt 'C 1 2/m 1'
_space_group_IT_number 12
_space_group_name_Hall '-C 2y'
loop_
_atom_site_label
_atom_site_type_symbol
_atom_site_fract_x
_atom_site_fract_y
_atom_site_fract_z
Li1 Li 0.000 0.248 0.000
Cd1 Cd 0.000 0.500 0.500
Cd2 Cd 0.190 0.000 0.554
Cd3 Cd 0.202 0.500 0.789
In1 In 0.081 0.000 0.909
In2 In 0.100 0.240 0.598
In3 In 0.104 0.500 0.151
In4 In 0.192 0.240 0.191
```

The value obtained for the total magnetization is 0.0 Bohr magnetons per cell. Its density of states at the Fermi level is 5.83 states/eV/f.u. For the energy of formation, the calculation gives -0.016 eV per atom.

---

First-principles (PBE-GGA) data for crystalline Li4Sm3ZrTe8 at its relaxed geometry, as listed in Alexandria via LeMat-Bulk.

Geometry as CIF:
```
data_Li4Sm3ZrTe8
_cell_length_a 8.6361
_cell_length_b 8.6361
_cell_length_c 21.2833
_cell_angle_alpha 90.00
_cell_angle_beta 90.00
_cell_angle_gamma 120.00
_space_group_name_H-M_alt 'R -3 m'
_space_group_IT_number 166
_space_group_name_Hall '-R 3 2"'
loop_
_atom_site_label
_atom_site_type_symbol
_atom_site_fract_x
_atom_site_fract_y
_atom_site_fract_z
Li1 Li 0.0000 0.0000 0.0000
Li2 Li 0.0000 0.5000 0.0000
Sm1 Sm 0.0000 0.5000 0.5000
Zr1 Zr 0.0000 0.0000 0.5000
Te1 Te 0.0000 0.0000 0.2551
Te2 Te 0.0154 0.5077 0.2520
```

The value obtained for the total magnetization is 0.0 Bohr magnetons per cell. Its density of states at the Fermi level is 4.42 states/eV/f.u. As for the formation energy from raw total energies: -27.25 kcal/mol of atoms.